Crystalline RbH3Rh at its relaxed geometry. Source: Alexandria, functional GGA-PBE.

Cell: 3.8375 3.8375 3.8375 Å, 90.00 90.00 90.00°
Last column: nearest neighbours and their distance in Å.
Element x y z (fractional)
H  0.0000  0.5000  0.0000  2 Rh 1.92
H  0.0000  0.0000  0.5000  2 Rh 1.92
H  0.5000  0.0000  0.0000  2 Rh 1.92
Rh  0.0000  0.0000  0.0000  6 H 1.92
Rb  0.5000  0.5000  0.5000  12 H 2.71

Output
Total energy, Ry/atom: -0.271

***

Crystalline Na2H6PdPt at its relaxed geometry. Source: Alexandria, functional GGA-PBE.

Cell: 5.3495 5.0283 5.0283 Å, 120.00 90.00 90.00°
Last column: nearest neighbours and their distance in Å.
Element x y z (fractional)
Na  0.2235  0.3333  0.6667  9 H 2.52-2.81
Na  0.7765  0.6667  0.3333  9 H 2.52-2.81
H  0.7936  0.1489  0.2978  1 Pt 1.70
H  0.7936  0.1489  0.8511  1 Pt 1.70
H  0.7936  0.7022  0.8511  1 Pt 1.70
H  0.2064  0.8511  0.1489  1 Pt 1.70
H  0.2064  0.2978  0.1489  1 Pt 1.70
H  0.2064  0.8511  0.7022  1 Pt 1.70
Pd  0.5000  0.0000  0.0000  6 H 2.04
Pt  0.0000  0.0000  0.0000  6 H 1.70

Output
Total energy, Ry/atom: -0.267

***

Crystalline K3Pr5F12 at its relaxed geometry. Source: Alexandria, functional GGA-PBE.

Cell: 13.1425 13.1425 13.1425 Å, 109.47 109.47 109.47°
Last column: nearest neighbours and their distance in Å.
Element x y z (fractional)
K  0.7500  0.3750  0.1250  4 F 2.55
K  0.8750  0.7500  0.1250  4 F 2.55
K  0.3750  0.7500  0.6250  4 F 2.55
K  0.2500  0.1250  0.3750  4 F 2.55
K  0.8750  0.1250  0.2500  4 F 2.55
K  0.3750  0.6250  0.2500  4 F 2.55
K  0.6250  0.3750  0.7500  4 F 2.55
K  0.1250  0.8750  0.7500  4 F 2.55
K  0.7500  0.8750  0.6250  4 F 2.55
K  0.6250  0.2500  0.3750  4 F 2.55
K  0.1250  0.2500  0.8750  4 F 2.55
K  0.2500  0.6250  0.8750  4 F 2.55
Pr  0.1250  0.3750  0.2500  4 F 2.37
Pr  0.0000  0.5000  0.0000  6 F 2.42
Pr  0.0000  0.0000  0.0000  6 F 2.42
Pr  0.3750  0.2500  0.1250  4 F 2.37
Pr  0.5000  0.0000  0.5000  6 F 2.42
Pr  0.5000  0.5000  0.0000  6 F 2.42
Pr  0.1250  0.7500  0.3750  4 F 2.37
Pr  0.7500  0.1250  0.8750  4 F 2.37
Pr  0.7500  0.6250  0.3750  4 F 2.37
Pr  0.3750  0.1250  0.7500  4 F 2.37
Pr  0.6250  0.8750  0.2500  4 F 2.37
Pr  0.5000  0.5000  0.5000  6 F 2.42
Pr  0.5000  0.0000  0.0000  6 F 2.42
Pr  0.0000  0.0000  0.5000  6 F 2.42
Pr  0.2500  0.3750  0.6250  4 F 2.37
Pr  0.2500  0.8750  0.1250  4 F 2.37
Pr  0.0000  0.5000  0.5000  6 F 2.42
Pr  0.8750  0.2500  0.6250  4 F 2.37
Pr  0.6250  0.7500  0.8750  4 F 2.37
Pr  0.8750  0.6250  0.7500  4 F 2.37
F  0.6932  0.1467  0.0313  2 Pr 2.37-2.42, 1 K 2.55
F  0.3381  0.5313  0.3845  2 Pr 2.37-2.42, 1 K 2.55
F  0.9687  0.3533  0.3068  2 Pr 2.37-2.42, 1 K 2.55
F  0.5313  0.1932  0.1467  2 Pr 2.37-2.42, 1 K 2.55
F  0.5464  0.6932  0.6619  2 Pr 2.37-2.42, 1 K 2.55
F  0.9687  0.6155  0.1619  2 Pr 2.37-2.42, 1 K 2.55
F  0.3381  0.8068  0.4536  2 Pr 2.37-2.42, 1 K 2.55
F  0.1155  0.9536  0.1467  2 Pr 2.37-2.42, 1 K 2.55
F  0.6155  0.9687  0.6619  2 Pr 2.37-2.42, 1 K 2.55
F  0.6932  0.5464  0.1619  2 Pr 2.37-2.42, 1 K 2.55
F  0.8068  0.4687  0.3533  2 Pr 2.37-2.42, 1 K 2.55
F  0.8381  0.8845  0.0313  2 Pr 2.37-2.42, 1 K 2.55
F  0.1467  0.6932  0.5313  2 Pr 2.37-2.42, 1 K 2.55
F  0.3533  0.3845  0.0464  2 Pr 2.37-2.42, 1 K 2.55
F  0.0464  0.8845  0.3533  2 Pr 2.37-2.42, 1 K 2.55
F  0.4536  0.1467  0.6155  2 Pr 2.37-2.42, 1 K 2.55
F  0.0464  0.1619  0.1932  2 Pr 2.37-2.42, 1 K 2.55
F  0.4687  0.6619  0.1155  2 Pr 2.37-2.42, 1 K 2.55
F  0.8381  0.9536  0.3068  2 Pr 2.37-2.42, 1 K 2.55
F  0.1467  0.4536  0.1155  2 Pr 2.37-2.42, 1 K 2.55
F  0.3533  0.9687  0.8068  2 Pr 2.37-2.42, 1 K 2.55
F  0.6155  0.6467  0.4536  2 Pr 2.37-2.42, 1 K 2.55
F  0.8845  0.8381  0.5313  2 Pr 2.37-2.42, 1 K 2.55
F  0.8068  0.3381  0.9536  2 Pr 2.37-2.42, 1 K 2.55
F  0.3845  0.3533  0.5464  2 Pr 2.37-2.42, 1 K 2.55
F  0.1155  0.1619  0.4687  2 Pr 2.37-2.42, 1 K 2.55
F  0.1932  0.6619  0.0464  2 Pr 2.37-2.42, 1 K 2.55
F  0.1619  0.0464  0.6932  2 Pr 2.37-2.42, 1 K 2.55
F  0.6467  0.0313  0.1932  2 Pr 2.37-2.42, 1 K 2.55
F  0.8533  0.5464  0.8845  2 Pr 2.37-2.42, 1 K 2.55
F  0.5313  0.3381  0.8845  2 Pr 2.37-2.42, 1 K 2.55
F  0.5464  0.8533  0.3845  2 Pr 2.37-2.42, 1 K 2.55
F  0.9536  0.8381  0.8068  2 Pr 2.37-2.42, 1 K 2.55
F  0.9536  0.1155  0.6467  2 Pr 2.37-2.42, 1 K 2.55
F  0.8533  0.3068  0.4687  2 Pr 2.37-2.42, 1 K 2.55
F  0.1619  0.1155  0.9687  2 Pr 2.37-2.42, 1 K 2.55
F  0.6467  0.6155  0.9536  2 Pr 2.37-2.42, 1 K 2.55
F  0.3845  0.0313  0.3381  2 Pr 2.37-2.42, 1 K 2.55
F  0.3068  0.4536  0.8381  2 Pr 2.37-2.42, 1 K 2.55
F  0.1932  0.5313  0.6467  2 Pr 2.37-2.42, 1 K 2.55
F  0.8845  0.0464  0.8533  2 Pr 2.37-2.42, 1 K 2.55
F  0.6619  0.1932  0.5464  2 Pr 2.37-2.42, 1 K 2.55
F  0.4687  0.8068  0.8533  2 Pr 2.37-2.42, 1 K 2.55
F  0.0313  0.3845  0.8381  2 Pr 2.37-2.42, 1 K 2.55
F  0.4536  0.3068  0.3381  2 Pr 2.37-2.42, 1 K 2.55
F  0.0313  0.6467  0.6932  2 Pr 2.37-2.42, 1 K 2.55
F  0.6619  0.4687  0.6155  2 Pr 2.37-2.42, 1 K 2.55
F  0.3068  0.8533  0.9687  2 Pr 2.37-2.42, 1 K 2.55

Output
Total energy, Ry/atom: -0.406

***

Crystalline CeSmTlHg at its relaxed geometry. Source: Alexandria, functional GGA-PBE.

Cell: 3.5741 3.5741 8.7543 Å, 90.00 90.00 90.00°
Last column: nearest neighbours and their distance in Å.
Element x y z (fractional)
Ce  0.5000  0.5000  0.6008  4 Hg 3.33, 4 Tl 3.40, 4 Ce 3.57
Sm  0.5000  0.5000  0.1137  4 Hg 3.28, 4 Tl 3.36, 4 Sm 3.57
Tl  0.0000  0.0000  0.8601  4 Sm 3.36, 4 Ce 3.40, 4 Tl 3.57
Hg  0.0000  0.0000  0.3533  4 Sm 3.28, 4 Ce 3.33, 4 Hg 3.57

Output
Energy relative to the elements, eV/atom: -0.3408

***

Crystalline NaSr2ThS4 at its relaxed geometry. Source: Alexandria, functional GGA-PBE.

Cell: 4.1520 7.2141 7.2287 Å, 108.97 90.00 90.00°
Last column: nearest neighbours and their distance in Å.
Element x y z (fractional)
Na  0.0000  0.0000  0.0000  6 S 2.92-2.94
Sr  0.5000  0.0000  0.5000  6 S 3.01-3.07
Sr  0.0000  0.5000  0.5000  6 S 2.96
Th  0.5000  0.5000  0.0000  6 S 2.80-2.89
S  0.5000  0.2599  0.2368  1 Th 2.80, 2 Na 2.94, 3 Sr 2.96-3.07
S  0.5000  0.7401  0.7632  1 Th 2.80, 2 Na 2.94, 3 Sr 2.96-3.07
S  0.0000  0.2585  0.7622  2 Th 2.89, 1 Na 2.92, 3 Sr 2.96-3.01
S  0.0000  0.7415  0.2378  2 Th 2.89, 1 Na 2.92, 3 Sr 2.96-3.01

Output
Total energy, Ry/atom: -0.400

***

Crystalline Mg2NiSe at its relaxed geometry. Source: Alexandria, functional GGA-PBE.

Cell: 4.9975 4.9975 4.9975 Å, 132.00 132.00 70.23°
Last column: nearest neighbours and their distance in Å.
Element x y z (fractional)
Mg  0.0000  0.0000  0.0000  4 Mg 2.87, 4 Ni 2.88, 4 Se 2.88
Mg  0.5000  0.5000  0.0000  4 Mg 2.87, 4 Se 2.88, 4 Ni 2.88
Ni  0.2500  0.7500  0.5000  4 Se 2.87, 8 Mg 2.88
Se  0.7500  0.2500  0.5000  4 Ni 2.87, 8 Mg 2.88

Output
Total energy, Ry/atom: -0.241

***

Crystalline In2SbF at its relaxed geometry. Source: Alexandria, functional GGA-PBE.

Cell: 5.0626 5.0626 5.0626 Å, 60.00 60.00 60.00°
Last column: nearest neighbours and their distance in Å.
Element x y z (fractional)
Sb  0.5000  0.5000  0.5000  8 In 3.10
F  0.0000  0.0000  0.0000  8 In 3.10
In  0.2500  0.2500  0.2500  4 F 3.10, 4 Sb 3.10
In  0.7500  0.7500  0.7500  4 Sb 3.10, 4 F 3.10

Output
Total energy, Ry/atom: -0.262

***

Crystalline Pm5As2P2 at its relaxed geometry. Source: Alexandria, functional GGA-PBE.

Cell: 7.8633 7.7603 8.3498 Å, 117.69 90.00 90.00°
Last column: nearest neighbours and their distance in Å.
Element x y z (fractional)
Pm  0.0000  0.0000  0.0000  2 As 2.95, 4 P 2.98-3.02
Pm  0.5000  0.5000  0.0000  2 As 2.95, 4 P 2.98-3.02
Pm  0.8417  0.7959  0.2679  3 P 2.93-3.10, 3 As 3.03-3.12
Pm  0.1583  0.4719  0.2679  3 P 2.93-3.10, 3 As 3.03-3.12
Pm  0.3417  0.9719  0.2679  3 P 2.93-3.10, 3 As 3.03-3.12
Pm  0.6583  0.2959  0.2679  3 P 2.93-3.10, 3 As 3.03-3.12
Pm  0.1583  0.2041  0.7321  3 P 2.93-3.10, 3 As 3.03-3.12
Pm  0.8417  0.5281  0.7321  3 P 2.93-3.10, 3 As 3.03-3.12
Pm  0.6583  0.0281  0.7321  3 P 2.93-3.10, 3 As 3.03-3.12
Pm  0.3417  0.7041  0.7321  3 P 2.93-3.10, 3 As 3.03-3.12
As  0.0000  0.1995  0.3990  7 Pm 2.95-3.12
As  0.5000  0.6995  0.3990  7 Pm 2.95-3.12
As  0.0000  0.8005  0.6010  7 Pm 2.95-3.12
As  0.5000  0.3005  0.6010  7 Pm 2.95-3.12
P  0.6438  0.8559  0.0000  8 Pm 2.93-3.10, 1 P 3.18
P  0.3562  0.1441  0.0000  8 Pm 2.93-3.10, 1 P 3.18
P  0.1438  0.6441  0.0000  8 Pm 2.93-3.10, 1 P 3.18
P  0.8562  0.3559  0.0000  8 Pm 2.93-3.10, 1 P 3.18

Output
Energy relative to the elements, eV/atom: -1.2945

***

For the records above, the corresponding calculated density values read 5.62 5.01 3.99 10.33 4.53 4.58 6.70 6.90 g/cm³.